1.
Density functional theory data (PBE) for crystalline ErPaPb2S6 at its relaxed geometry.

Unit cell a=7.1844 b=7.1845 c=7.3874 alpha=60.90 beta=60.90 gamma=60.00
Atoms (fractional coordinates):
S1 0.5873 0.1754 0.2637
S2 0.9736 0.5873 0.2638
Pb1 0.5272 0.5271 0.4187
S3 0.6730 0.0973 0.7669
S4 0.0973 0.4628 0.7669
Er1 0.8190 0.8191 0.5428
S5 0.4628 0.6731 0.7669
S6 0.1754 0.9736 0.2637
Pb2 0.0250 0.0250 0.9250
Pa1 0.3210 0.3210 0.0369

## Properties
**Density**: 6.11 g/cm³
**M_tot**: 0.000 μB/cell
**Formation energy without anion corrections**: -1266.7 meV/atom
**V**: 27.3 A^3/atom



2.
Density functional theory data (PBE) for crystalline Cs4CeCl7 at its relaxed geometry.

Unit cell a=5.6974 b=9.2429 c=10.5874 alpha=74.76 beta=74.39 gamma=72.05
Atoms (fractional coordinates):
Cl1 0.9261 0.8804 0.2674
Cs1 0.2664 0.1197 0.3475
Cs2 0.5755 0.6077 0.2413
Cl2 0.5000 0.0000 0.0000
Cl3 0.8318 0.2990 0.0374
Cs3 0.4245 0.3923 0.7587
Cl4 0.3620 0.7368 0.5392
Cl5 0.6380 0.2632 0.4608
Cl6 0.1682 0.7010 0.9626
Cl7 0.0739 0.1196 0.7326
Cs4 0.7336 0.8803 0.6525
Ce1 0.0000 0.0000 0.0000

## Properties
**Density**: 3.05 g/cm³
**M_tot**: 1.000 μB/cell
**Formation energy without anion corrections**: -2057.4 meV/atom
**V**: 41.7 A^3/atom



3.
Density functional theory data (PBE) for crystalline PmAl9Pt2 at its relaxed geometry.

Unit cell a=7.1978 b=8.3797 c=8.3797 alpha=79.37 beta=64.57 gamma=64.57
Atoms (fractional coordinates):
Pm1 0.2500 0.5000 0.5000
Al1 0.6028 0.0799 0.3230
Al2 0.0742 0.3230 0.9201
Al3 0.6758 0.5799 0.1770
Al4 0.3173 0.0799 0.6770
Al5 0.0057 0.9201 0.6770
Pm2 0.5000 0.0000 0.0000
Al6 0.1472 0.4201 0.1770
Al7 0.7443 0.8230 0.5799
Al8 0.0000 0.0000 0.0000
Al9 0.7500 0.5000 0.5000
Al10 0.0742 0.9201 0.3230
Al11 0.6758 0.1770 0.5799
Al12 0.3173 0.6770 0.0799
Al13 0.7443 0.5799 0.8230
Al14 0.0057 0.6770 0.9201
Pt1 0.3750 0.7500 0.7500
Al15 0.4327 0.4201 0.8230
Pt2 0.8750 0.2500 0.2500
Pt3 0.8750 0.2500 0.7500
Pt4 0.8750 0.7500 0.2500
Al16 0.1472 0.1770 0.4201
Al17 0.4327 0.8230 0.4201
Al18 0.6028 0.3230 0.0799

## Properties
**Density**: 6.27 g/cm³
**M_tot**: 0.000 μB/cell
**Calculated total energy**: -114.12 eV per cell
**V**: 17.2 A^3/atom